The following is a GGA-PBE calculation of a relaxed LiSnS2O8 crystal, from Alexandria.

## Properties
- spin magnetization (μB per cell) = 3.00
- uncorrected formation energy (eV per atom) = -1.3091

a = 4.8262 Å, b = 4.8262 Å, c = 21.9971 Å
α = 90.00°, β = 90.00°, γ = 120.00°
Space group R-3 (No. 148, hexagonal axes)
One atom of each set of equivalent atoms:
Li  0.0000  0.0000  0.0000 (multiplicity 3)
Sn  0.0000  0.0000  0.5000 (multiplicity 3)
S  0.0000  0.0000  0.2512 (multiplicity 6)
O  0.0000  0.0000  0.1821 (multiplicity 6)
O  0.0007  0.2931  0.7284 (multiplicity 18)


The following is a GGA-PBE calculation of a relaxed Co5Rh crystal, from Alexandria.

## Properties
- energy of formation from the pure elements (eV/atom) = 0.168
- spin magnetization (μB per cell) = 19.22

a = 2.688 Å, b = 4.251 Å, c = 12.486 Å
α = 90.00°, β = 90.00°, γ = 90.00°
Space group Cmmm (No. 65)
One atom of each set of equivalent atoms:
Co  0.000  0.000  0.000 (multiplicity 2)
Co  0.000  0.000  0.323 (multiplicity 4)
Co  0.000  0.500  0.162 (multiplicity 4)
Rh  0.000  0.500  0.500 (multiplicity 2)


The following is a GGA-PBE calculation of a relaxed YZrHg crystal, from Alexandria.

## Properties
- energy of formation from the pure elements (eV/atom) = -0.078
- spin magnetization (μB per cell) = 0.00
- energy above the most stable polymorph in this dataset (meV/atom) = 168

a = 3.4528 Å, b = 3.4528 Å, c = 7.5161 Å
α = 90.00°, β = 90.00°, γ = 120.00°
Space group P3m1 (No. 156)
One atom of each set of equivalent atoms:
Y  0.0000  0.0000  0.0000 (multiplicity 1)
Zr  0.6667  0.3333  0.3453 (multiplicity 1)
Hg  0.3333  0.6667  0.6611 (multiplicity 1)


The following is a GGA-PBE calculation of a relaxed CrCo2Cu2 crystal, from Alexandria.

## Properties
- energy of formation from the pure elements (eV/atom) = 0.459
- spin magnetization (μB per cell) = 13.43

a = 6.908 Å, b = 6.908 Å, c = 2.641 Å
α = 90.00°, β = 90.00°, γ = 90.00°
Space group P4/mbm (No. 127)
One atom of each set of equivalent atoms:
Cr  0.000  0.000  0.000 (multiplicity 2)
Co  0.118  0.382  0.000 (multiplicity 4)
Cu  0.180  0.680  0.500 (multiplicity 4)


The following is a GGA-PBE calculation of a relaxed Hg3BrO crystal, from Alexandria.

## Properties
- spin magnetization (μB per cell) = 0.00
- uncorrected formation energy (eV per atom) = 0.0440
- energy above the most stable polymorph in this dataset (meV/atom) = 273

a = 4.958 Å, b = 4.958 Å, c = 4.958 Å
α = 90.00°, β = 90.00°, γ = 90.00°
Space group Pm-3m (No. 221)
One atom of each set of equivalent atoms:
Hg  0.000  0.000  0.500 (multiplicity 3)
Br  0.500  0.500  0.500 (multiplicity 1)
O  0.000  0.000  0.000 (multiplicity 1)


The following is a GGA-PBE calculation of a relaxed Na3TcBr8 crystal, from Alexandria.

## Properties
- spin magnetization (μB per cell) = 6.28
- uncorrected formation energy (eV per atom) = -0.8719

a = 7.428 Å, b = 12.133 Å, c = 8.883 Å
α = 90.00°, β = 90.00°, γ = 90.00°
Space group C222 (No. 21)
One atom of each set of equivalent atoms:
Na  0.000  0.000  0.000 (multiplicity 2)
Na  0.250  0.250  0.753 (multiplicity 4)
Tc  0.000  0.000  0.500 (multiplicity 2)
Br  0.000  0.208  0.500 (multiplicity 4)
Br  0.000  0.240  0.000 (multiplicity 4)
Br  0.240  0.003  0.702 (multiplicity 8)


The following is a GGA-PBE calculation of a relaxed CsLiRe2P crystal, from Alexandria.

## Properties
- energy of formation from the pure elements (eV/atom) = 1.115
- spin magnetization (μB per cell) = 0.00

a = 4.461 Å, b = 4.461 Å, c = 6.256 Å
α = 90.00°, β = 90.00°, γ = 90.00°
Space group P4/mmm (No. 123)
One atom of each set of equivalent atoms:
Cs  0.000  0.000  0.000 (multiplicity 1)
Li  0.500  0.500  0.000 (multiplicity 1)
Re  0.000  0.500  0.500 (multiplicity 2)
P  0.000  0.000  0.500 (multiplicity 1)


The following is a GGA-PBE calculation of a relaxed MgBeP2Pt crystal, from Alexandria.

## Properties
- energy of formation from the pure elements (eV/atom) = 1.333
- spin magnetization (μB per cell) = 0.00

a = 4.603 Å, b = 4.603 Å, c = 4.404 Å
α = 90.00°, β = 90.00°, γ = 90.00°
Space group P4/mmm (No. 123)
One atom of each set of equivalent atoms:
Mg  0.000  0.000  0.000 (multiplicity 1)
Be  0.000  0.000  0.500 (multiplicity 1)
P  0.000  0.500  0.000 (multiplicity 2)
Pt  0.500  0.500  0.500 (multiplicity 1)


What is the spin magnetization in the eighth record?
0.00 μB per cell


Which formula does entry 1 have?
LiSnS2O8


What is the spin magnetization in the fourth record?
13.43 μB per cell